P:
The following is a DFT calculation (PBE) of a geometry-optimized LiTePN2 structure.

abc: 3.4266 3.4266 6.7962
angles: 90.00 90.00 90.00
Last column: nearest neighbours and their distance in Å.
Atoms (fractional coordinates):
1 Te 0.0000 0.0000 0.5000  4 Li 2.42
2 N 0.0000 0.5000 0.0000  2 P 1.71
3 N 0.5000 0.0000 0.0000  2 P 1.71
4 Li 0.5000 0.5000 0.5000  4 Te 2.42
5 P 0.0000 0.0000 0.0000  4 N 1.71

## Properties
The value obtained for the magnetic moment is 0.4 μB/cell.


Q:
The following is a DFT calculation (PBE) of a geometry-optimized LiTePN2 structure.

abc: 3.7961 3.7961 4.9534
angles: 90.00 90.00 90.00
Last column: nearest neighbours and their distance in Å.
Atoms (fractional coordinates):
1 Li 0.0000 0.0000 0.0000  4 N 1.90
2 N 0.0000 0.5000 0.0000  2 Li 1.90
3 Te 0.0000 0.0000 0.5000  2 Li 2.48, 4 P 2.68
4 N 0.5000 0.0000 0.0000  2 Li 1.90
5 P 0.5000 0.5000 0.5000  4 Te 2.68

## Properties
The value obtained for the magnetic moment is 0.0 μB/cell.


Most stable pick: P. Distance to second place: 109.0 kJ/mol of atoms.


P:
The following is a DFT calculation (PBE) of a geometry-optimized LiPaN structure.

abc: 3.4465 3.4419 11.1488
angles: 107.96 128.19 90.03
Last column: nearest neighbours and their distance in Å.
Atoms (fractional coordinates):
1 Pa 0.5566 0.4036 0.1535  5 N 2.43-2.48
2 Li 0.4325 0.8409 0.5910  1 N 2.06
3 N 0.0571 0.9040 0.1538  1 Li 2.06
4 Pa 0.4434 0.5964 0.8465  5 N 2.43-2.48
5 N 0.9429 0.0960 0.8462  1 Li 2.06
6 Li 0.5675 0.1591 0.4090  1 N 2.06

## Properties
The value obtained for the magnetic moment is 0.0 μB/cell.


Q:
The following is a DFT calculation (PBE) of a geometry-optimized LiPaN structure.

abc: 3.1703 3.1703 6.8131
angles: 103.45 103.45 90.00
Last column: nearest neighbours and their distance in Å.
Atoms (fractional coordinates):
1 Li 0.9570 0.9570 0.9141  4 Li 3.17, 1 N 3.37
2 N 0.2193 0.2193 0.4386  4 Pa 2.32
3 Pa 0.6737 0.6737 0.3473  4 N 2.32

## Properties
The value obtained for the magnetic moment is 0.4 μB/cell.


Most stable pick: P. Distance to second place: 39.5 kJ/mol of atoms.


P:
The following is a DFT calculation (PBE) of a geometry-optimized LiPa2N4 structure.

abc: 3.6884 6.9235 8.7451
angles: 76.55 77.83 74.55
Last column: nearest neighbours and their distance in Å.
Atoms (fractional coordinates):
1 Pa 0.8303 0.5267 0.8128  6 N 2.24-2.37
2 N 0.7887 0.3577 0.0649  1 Li 1.99
3 Li 0.8585 0.0813 0.2017  2 N 1.99-2.00
4 Pa 0.1697 0.4733 0.1872  6 N 2.24-2.37
5 N 0.0342 0.2195 0.7122  1 Li 2.00
6 Pa 0.6141 0.2135 0.5583  7 N 2.26-2.48
7 N 0.4155 0.5207 0.6483  4 Pa 2.26-2.32
8 N 0.9658 0.7805 0.2878  1 Li 2.00
9 N 0.2113 0.6423 0.9351  1 Li 1.99
10 N 0.7617 0.8594 0.6172  4 Pa 2.32-2.52, 2 Li 2.49
11 N 0.5845 0.4793 0.3517  4 Pa 2.26-2.32
12 Pa 0.3859 0.7865 0.4417  7 N 2.26-2.48
13 N 0.2383 0.1406 0.3828  4 Pa 2.32-2.52, 2 Li 2.49
14 Li 0.1415 0.9187 0.7983  2 N 1.99-2.00

## Properties
The value obtained for the magnetic moment is 0.0 μB/cell.


Q:
The following is a DFT calculation (PBE) of a geometry-optimized LiPa2N4 structure.

abc: 6.2307 6.2307 6.2307
angles: 108.53 111.37 108.53
Last column: nearest neighbours and their distance in Å.
Atoms (fractional coordinates):
1 N 0.1946 0.2099 0.8411  3 Pa 2.20-2.37, 1 Li 2.20
2 Pa 0.3750 0.9351 0.8101  6 N 2.20-2.37
3 Pa 0.8750 0.0649 0.4399  6 N 2.20-2.37
4 Pa 0.5601 0.4351 0.6250  6 N 2.20-2.37
5 N 0.0153 0.6465 0.8054  3 Pa 2.20-2.37, 1 Li 2.20
6 N 0.5554 0.1465 0.2653  3 Pa 2.20-2.37, 1 Li 2.20
7 N 0.6312 0.7901 0.9847  3 Pa 2.20-2.37, 1 Li 2.20
8 N 0.5911 0.7099 0.4446  3 Pa 2.20-2.37, 1 Li 2.20
9 N 0.1188 0.8535 0.4089  3 Pa 2.20-2.37, 1 Li 2.20
10 Li 0.7500 0.5000 0.2500  4 N 2.20
11 Pa 0.1899 0.5649 0.1250  6 N 2.20-2.37
12 N 0.1589 0.3535 0.3688  3 Pa 2.20-2.37, 1 Li 2.20
13 N 0.7347 0.2901 0.8812  3 Pa 2.20-2.37, 1 Li 2.20
14 Li 0.0000 0.0000 0.0000  4 N 2.20

## Properties
The value obtained for the magnetic moment is 0.0 μB/cell.


Most stable pick: P. Distance to second place: 5.7 kJ/mol of atoms.


P:
The following is a DFT calculation (PBE) of a geometry-optimized Li3PbN structure.

abc: 4.1376 4.1376 4.1376
angles: 90.00 90.00 90.00
Last column: nearest neighbours and their distance in Å.
Atoms (fractional coordinates):
1 N 0.0000 0.0000 0.0000  6 Li 2.07
2 Li 0.5000 0.0000 0.0000  2 N 2.07
3 Li 0.0000 0.0000 0.5000  2 N 2.07
4 Pb 0.5000 0.5000 0.5000  12 Li 2.93
5 Li 0.0000 0.5000 0.0000  2 N 2.07

## Properties
The value obtained for the magnetic moment is 0.0 μB/cell.


Q:
The following is a DFT calculation (PBE) of a geometry-optimized Li3PbN structure.

abc: 5.3886 5.3886 5.3886
angles: 90.00 90.00 90.00
Last column: nearest neighbours and their distance in Å.
Atoms (fractional coordinates):
1 Li 0.0000 0.5000 0.0000  2 Pb 2.69
2 Pb 0.0000 0.0000 0.0000  6 Li 2.69
3 Li 0.5000 0.0000 0.0000  2 Pb 2.69
4 N 0.5000 0.5000 0.5000  12 Li 3.81
5 Li 0.0000 0.0000 0.5000  2 Pb 2.69

## Properties
The value obtained for the magnetic moment is 4.0 μB/cell.


Most stable pick: P. Distance to second place: 114.0 kJ/mol of atoms.


P:
The following is a DFT calculation (PBE) of a geometry-optimized Li4PbN structure.

abc: 3.6147 6.0771 8.7542
angles: 90.00 90.00 90.00
Last column: nearest neighbours and their distance in Å.
Atoms (fractional coordinates):
1 N 0.5000 0.0000 0.5000  8 Li 1.93-2.07
2 Li 0.0000 0.5003 0.2791  1 N 1.93
3 Li 0.5000 0.0003 0.7209  1 N 1.93
4 Li 0.0000 0.4997 0.7209  1 N 1.93
5 Li 0.0000 0.8324 0.5002  3 N 2.02-2.07, 3 Li 2.04-2.07
6 N 0.0000 0.5000 0.5000  8 Li 1.93-2.07
7 Li 0.5000 0.6676 0.5002  3 N 2.02-2.07, 3 Li 2.04-2.07
8 Li 0.5000 0.9997 0.2791  1 N 1.93
9 Pb 0.5000 0.5000 0.0000  4 Li 3.04
10 Pb 0.0000 0.0000 0.0000  4 Li 3.04
11 Li 0.5000 0.3324 0.4998  3 N 2.02-2.07, 3 Li 2.04-2.07
12 Li 0.0000 0.1676 0.4998  3 N 2.02-2.07, 3 Li 2.04-2.07

## Properties
The value obtained for the magnetic moment is 0.0 μB/cell.


Q:
The following is a DFT calculation (PBE) of a geometry-optimized Li4PbN structure.

abc: 4.7163 5.8237 7.7406
angles: 112.10 107.72 90.00
Last column: nearest neighbours and their distance in Å.
Atoms (fractional coordinates):
1 Li 0.3929 0.6227 0.7868  2 N 2.08
2 Li 0.6071 0.8359 0.2132  2 N 2.08
3 N 0.3552 0.5001 0.0002  1 N 1.37
4 Pb 0.1824 0.1849 0.3699  12 Li 2.83-3.12
5 Li 0.7970 0.2999 0.5998  4 Pb 2.83-2.92, 8 Li 2.98-3.06
6 Pb 0.8176 0.8151 0.6301  12 Li 2.83-3.12
7 N 0.6448 0.4999 0.9998  1 N 1.37
8 Li 0.0000 0.7126 0.0000  2 N 2.08
9 Li 0.2030 0.7001 0.4002  4 Pb 2.83-2.92, 8 Li 2.98-3.06
10 Li 0.0000 0.2874 0.0000  2 N 2.08
11 Li 0.6071 0.3773 0.2132  2 N 2.08
12 Li 0.3929 0.1641 0.7868  2 N 2.08

## Properties
The value obtained for the magnetic moment is 0.0 μB/cell.


Most stable pick: P. Distance to second place: 0.5 kJ/mol of atoms.


P:
The following is a DFT calculation (PBE) of a geometry-optimized LiPbSeN2 structure.

abc: 4.5728 4.5728 5.1434
angles: 90.00 90.00 90.00
Last column: nearest neighbours and their distance in Å.
Atoms (fractional coordinates):
1 N 0.0000 0.5000 0.0000  2 Li 2.29
2 Pb 0.5000 0.5000 0.5000  4 Se 3.23, 8 N 3.44
3 Se 0.0000 0.0000 0.5000  2 Li 2.57
4 N 0.5000 0.0000 0.0000  2 Li 2.29
5 Li 0.0000 0.0000 0.0000  4 N 2.29

## Properties
The value obtained for the magnetic moment is 5.0 μB/cell.


Q:
The following is a DFT calculation (PBE) of a geometry-optimized LiPbSeN2 structure.

abc: 4.4958 4.4958 5.6919
angles: 90.00 90.00 90.00
Last column: nearest neighbours and their distance in Å.
Atoms (fractional coordinates):
1 Li 0.5000 0.5000 0.5000  4 Se 3.18
2 Pb 0.0000 0.0000 0.0000  4 N 2.25
3 N 0.5000 0.0000 0.0000  2 Pb 2.25
4 N 0.0000 0.5000 0.0000  2 Pb 2.25
5 Se 0.0000 0.0000 0.5000  2 Pb 2.85, 4 Li 3.18

## Properties
The value obtained for the magnetic moment is 3.3 μB/cell.


Most stable pick: Q. Distance to second place: 10.3 kJ/mol of atoms.